A plane-wave DFT calculation with PBE-GGA was carried out for a geometry-optimized P2PdPtCl structure.

Output
Formation energy without anion corrections, eV per atom: 0.9024
Energy above the most stable polymorph in this dataset, kcal/mol of atoms: 4.47
Fermi-level density of states, states/eV/f.u.: 3.23
Total DFT energy (no corrections), eV per atom: -3.878

Cell: 4.656 4.656 4.658 Å, 90.00 90.00 90.00°
Space group P4/mmm (No. 123)
Asymmetric unit:
P (0.000, 0.500, 0.000)
Pd (0.000, 0.000, 0.000)
Pt (0.500, 0.500, 0.500)
Cl (0.000, 0.000, 0.500)



A plane-wave DFT calculation with PBE-GGA was carried out for a geometry-optimized P2PdPtCl structure.

Output
Formation energy without anion corrections, eV per atom: 0.7086
Energy above the most stable polymorph in this dataset, kcal/mol of atoms: 0.00
Fermi-level density of states, states/eV/f.u.: 2.61
Total DFT energy (no corrections), eV per atom: -4.071

Cell: 4.618 4.618 5.012 Å, 90.00 90.00 90.00°
Space group P4/mmm (No. 123)
Asymmetric unit:
P (0.000, 0.500, 0.000)
Pd (0.000, 0.000, 0.500)
Pt (0.500, 0.500, 0.000)
Cl (0.500, 0.500, 0.500)



A plane-wave DFT calculation with PBE-GGA was carried out for a geometry-optimized RbP2PdCl structure.

Output
Formation energy without anion corrections, eV per atom: -0.1802
Energy above the most stable polymorph in this dataset, kcal/mol of atoms: 0.00
Fermi-level density of states, states/eV/f.u.: 1.58
Total DFT energy (no corrections), eV per atom: -3.946

Cell: 4.516 4.516 8.022 Å, 90.00 90.00 90.00°
Space group P4/mmm (No. 123)
Asymmetric unit:
Rb (0.000, 0.000, 0.000)
P (0.000, 0.500, 0.500)
Pd (0.500, 0.500, 0.500)
Cl (0.500, 0.500, 0.000)



A plane-wave DFT calculation with PBE-GGA was carried out for a geometry-optimized Rb2PPdCl6 structure.

Output
Formation energy without anion corrections, eV per atom: -1.0214
Fermi-level density of states, states/eV/f.u.: 1.90
Total DFT energy (no corrections), eV per atom: -3.383

Cell: 7.103 7.103 10.036 Å, 90.00 90.00 90.00°
Space group I4/mmm (No. 139)
Asymmetric unit:
Rb (0.000, 0.500, 0.250)
P (0.000, 0.000, 0.000)
Pd (0.000, 0.000, 0.500)
Cl (0.000, 0.000, 0.242)
Cl (0.243, 0.243, 0.000)



A plane-wave DFT calculation with PBE-GGA was carried out for a geometry-optimized RbPPdCl2 structure.

Output
Formation energy without anion corrections, eV per atom: -0.5355
Energy above the most stable polymorph in this dataset, kcal/mol of atoms: 0.00
Fermi-level density of states, states/eV/f.u.: 2.58
Total DFT energy (no corrections), eV per atom: -3.588

Cell: 5.420 5.420 4.486 Å, 90.00 90.00 90.00°
Space group P4/mmm (No. 123)
Asymmetric unit:
Rb (0.000, 0.000, 0.000)
P (0.500, 0.500, 0.000)
Pd (0.500, 0.500, 0.500)
Cl (0.000, 0.500, 0.500)



A plane-wave DFT calculation with PBE-GGA was carried out for a geometry-optimized RbPPdCl2 structure.

Output
Formation energy without anion corrections, eV per atom: 0.7589
Energy above the most stable polymorph in this dataset, kcal/mol of atoms: 29.85
Fermi-level density of states, states/eV/f.u.: 16.12
Total DFT energy (no corrections), eV per atom: -2.294

Cell: 6.146 6.146 6.518 Å, 90.00 90.00 90.00°
Space group P4/mmm (No. 123)
Asymmetric unit:
Rb (0.000, 0.000, 0.000)
P (0.000, 0.000, 0.500)
Pd (0.500, 0.500, 0.500)
Cl (0.000, 0.500, 0.000)



A plane-wave DFT calculation with PBE-GGA was carried out for a geometry-optimized RbP2PdCl structure.

Output
Formation energy without anion corrections, eV per atom: 1.4743
Energy above the most stable polymorph in this dataset, kcal/mol of atoms: 38.15
Fermi-level density of states, states/eV/f.u.: 13.73
Total DFT energy (no corrections), eV per atom: -2.291

Cell: 6.760 6.760 5.943 Å, 90.00 90.00 90.00°
Space group P4/mmm (No. 123)
Asymmetric unit:
Rb (0.000, 0.000, 0.000)
P (0.000, 0.500, 0.000)
Pd (0.500, 0.500, 0.500)
Cl (0.000, 0.000, 0.500)



A plane-wave DFT calculation with PBE-GGA was carried out for a geometry-optimized ReP2PdCl structure.

Output
Formation energy without anion corrections, eV per atom: 1.3501
Energy above the most stable polymorph in this dataset, kcal/mol of atoms: 16.60
Fermi-level density of states, states/eV/f.u.: 2.26
Total DFT energy (no corrections), eV per atom: -4.711

Cell: 4.683 4.683 4.693 Å, 90.00 90.00 90.00°
Space group P4/mmm (No. 123)
Asymmetric unit:
Re (0.000, 0.000, 0.000)
P (0.000, 0.500, 0.500)
Pd (0.500, 0.500, 0.500)
Cl (0.500, 0.500, 0.000)



A plane-wave DFT calculation with PBE-GGA was carried out for a geometry-optimized ReP2PdCl structure.

Output
Formation energy without anion corrections, eV per atom: 0.6302
Energy above the most stable polymorph in this dataset, kcal/mol of atoms: 0.00
Fermi-level density of states, states/eV/f.u.: 4.97
Total DFT energy (no corrections), eV per atom: -5.431

Cell: 4.542 4.542 5.057 Å, 90.00 90.00 90.00°
Space group P4/mmm (No. 123)
Asymmetric unit:
Re (0.000, 0.000, 0.000)
P (0.000, 0.500, 0.000)
Pd (0.500, 0.500, 0.500)
Cl (0.000, 0.000, 0.500)



A plane-wave DFT calculation with PBE-GGA was carried out for a geometry-optimized P2PdRhCl structure.

Output
Formation energy without anion corrections, eV per atom: 0.5564
Energy above the most stable polymorph in this dataset, kcal/mol of atoms: 0.00
Fermi-level density of states, states/eV/f.u.: 3.85
Total DFT energy (no corrections), eV per atom: -4.486

Cell: 4.518 4.518 4.924 Å, 90.00 90.00 90.00°
Space group P4/mmm (No. 123)
Asymmetric unit:
P (0.000, 0.500, 0.000)
Pd (0.000, 0.000, 0.500)
Rh (0.500, 0.500, 0.000)
Cl (0.500, 0.500, 0.500)



A plane-wave DFT calculation with PBE-GGA was carried out for a geometry-optimized PPdRuCl2 structure.

Output
Formation energy without anion corrections, eV per atom: 0.8931
Energy above the most stable polymorph in this dataset, kcal/mol of atoms: 9.83
Fermi-level density of states, states/eV/f.u.: 4.41
Total DFT energy (no corrections), eV per atom: -3.821

Cell: 4.808 4.808 4.736 Å, 90.00 90.00 90.00°
Space group P4/mmm (No. 123)
Asymmetric unit:
P (0.000, 0.000, 0.000)
Pd (0.000, 0.000, 0.500)
Ru (0.500, 0.500, 0.000)
Cl (0.000, 0.500, 0.500)



A plane-wave DFT calculation with PBE-GGA was carried out for a geometry-optimized P2PdRuCl structure.

Output
Formation energy without anion corrections, eV per atom: 0.5488
Energy above the most stable polymorph in this dataset, kcal/mol of atoms: 0.00
Fermi-level density of states, states/eV/f.u.: 3.66
Total DFT energy (no corrections), eV per atom: -4.878

Cell: 4.483 4.483 5.008 Å, 90.00 90.00 90.00°
Space group P4/mmm (No. 123)
Asymmetric unit:
P (0.000, 0.500, 0.000)
Pd (0.000, 0.000, 0.500)
Ru (0.500, 0.500, 0.000)
Cl (0.500, 0.500, 0.500)



Q: What is the Fermi-level density of states in the fifth record?
A: 2.58 states/eV/f.u.



What did the fifth record say?
A plane-wave DFT calculation with PBE-GGA was carried out for a geometry-optimized RbPPdCl2 structure.

Output
Formation energy without anion corrections, eV per atom: -0.5355
Energy above the most stable polymorph in this dataset, kcal/mol of atoms: 0.00
Fermi-level density of states, states/eV/f.u.: 2.58
Total DFT energy (no corrections), eV per atom: -3.588

Cell: 5.420 5.420 4.486 Å, 90.00 90.00 90.00°
Space group P4/mmm (No. 123)
Asymmetric unit:
Rb (0.000, 0.000, 0.000)
P (0.500, 0.500, 0.000)
Pd (0.500, 0.500, 0.500)
Cl (0.000, 0.500, 0.500)



What did the tenth record say?
A plane-wave DFT calculation with PBE-GGA was carried out for a geometry-optimized P2PdRhCl structure.

Output
Formation energy without anion corrections, eV per atom: 0.5564
Energy above the most stable polymorph in this dataset, kcal/mol of atoms: 0.00
Fermi-level density of states, states/eV/f.u.: 3.85
Total DFT energy (no corrections), eV per atom: -4.486

Cell: 4.518 4.518 4.924 Å, 90.00 90.00 90.00°
Space group P4/mmm (No. 123)
Asymmetric unit:
P (0.000, 0.500, 0.000)
Pd (0.000, 0.000, 0.500)
Rh (0.500, 0.500, 0.000)
Cl (0.500, 0.500, 0.500)